[1]
First-principles (GGA-PBE) data for a relaxed LaSm3Ho3 crystal, as listed in the Alexandria database.

Properties
magnetic moment	0.00	μB/f.u.
crystal system	trigonal
N(E_F)	22.24	states/eV per cell
volume	487	Å³/cell
electronic total energy	-62.83	eV for the cell shown

Cell lengths 8.941, 8.941, 8.941 Å; angles 58.38, 58.38, 58.38 degrees
Atoms (fractional coordinates):
Ho (0.716, 0.171, 0.936)
Ho (0.829, 0.064, 0.284)
Ho (0.171, 0.936, 0.716)
Ho (0.284, 0.829, 0.064)
Ho (0.936, 0.716, 0.171)
Ho (0.064, 0.284, 0.829)
La (0.653, 0.653, 0.653)
La (0.347, 0.347, 0.347)
Sm (0.932, 0.276, 0.431)
Sm (0.431, 0.932, 0.276)
Sm (0.569, 0.068, 0.724)
Sm (0.068, 0.724, 0.569)
Sm (0.276, 0.431, 0.932)
Sm (0.724, 0.569, 0.068)

[2]
First-principles (GGA-PBE) data for a relaxed La9Sm11Ho4 crystal, as listed in the Alexandria database.

Properties
magnetic moment	0.31	μB/f.u.
crystal system	orthorhombic
N(E_F)	35.40	states/eV per cell
volume	839	Å³/cell
electronic total energy	-113.31	eV for the cell shown

Cell lengths 3.716, 15.978, 15.978 Å; angles 117.80, 90.00, 90.00 degrees
Last column: magnetic moment on the atom in μB.
Atoms (fractional coordinates):
La (0.500, 0.614, 0.172)  0.00
La (0.500, 0.796, 0.972)  0.00
La (0.500, 0.972, 0.796)  0.00
La (0.500, 0.386, 0.828)  0.00
La (0.500, 0.500, 0.500)  0.10
La (0.500, 0.028, 0.204)  0.00
La (0.500, 0.828, 0.386)  0.00
La (0.500, 0.172, 0.614)  0.00
La (0.500, 0.204, 0.028)  0.00
Sm (0.000, 0.401, 0.036)  0.00
Sm (0.000, 0.000, 0.000)  0.00
Sm (0.000, 0.622, 0.378)  0.00
Sm (0.000, 0.599, 0.964)  0.00
Sm (0.000, 0.820, 0.180)  0.00
Sm (0.000, 0.180, 0.820)  0.00
Sm (0.000, 0.378, 0.622)  0.00
Sm (0.000, 0.964, 0.599)  0.00
Sm (0.000, 0.249, 0.249)  0.00
Sm (0.000, 0.751, 0.751)  0.00
Sm (0.000, 0.036, 0.401)  0.00
Ho (0.500, 0.235, 0.425)  0.00
Ho (0.500, 0.765, 0.575)  0.00
Ho (0.500, 0.425, 0.235)  0.00
Ho (0.500, 0.575, 0.765)  0.00

[3]
First-principles (GGA-PBE) data for a relaxed LaSm2Ho crystal, as listed in the Alexandria database.

Properties
magnetic moment	0.00	μB/f.u.
crystal system	tetragonal
N(E_F)	6.30	states/eV per cell
volume	136	Å³/cell
electronic total energy	-18.85	eV for the cell shown

Cell lengths 3.635, 3.635, 10.279 Å; angles 90.00, 90.00, 90.00 degrees
Atoms (fractional coordinates):
Sm (0.000, 0.000, 0.757)
Sm (0.000, 0.000, 0.243)
Ho (0.500, 0.500, 0.000)
La (0.500, 0.500, 0.500)

[4]
First-principles (GGA-PBE) data for a relaxed La3SmHo crystal, as listed in the Alexandria database.

Properties
magnetic moment	0.00	μB/f.u.
crystal system	hexagonal
N(E_F)	9.64	states/eV per cell
volume	363	Å³/cell
electronic total energy	-45.36	eV for the cell shown

Cell lengths 7.915, 7.915, 6.684 Å; angles 89.98, 89.98, 59.98 degrees
Atoms (fractional coordinates):
La (0.601, 0.199, 0.750)
La (0.801, 0.399, 0.250)
La (0.399, 0.801, 0.250)
La (0.199, 0.601, 0.750)
La (0.199, 0.199, 0.750)
La (0.801, 0.801, 0.250)
Sm (0.000, 0.000, 0.500)
Sm (0.000, 0.000, 0.000)
Ho (0.333, 0.333, 0.250)
Ho (0.667, 0.667, 0.750)

[5]
First-principles (GGA-PBE) data for a relaxed La2Sm7Ho crystal, as listed in the Alexandria database.

Properties
magnetic moment	0.00	μB/f.u.
crystal system	orthorhombic
N(E_F)	16.45	states/eV per cell
volume	346	Å³/cell
electronic total energy	-45.99	eV for the cell shown

Cell lengths 3.504, 15.079, 15.079 Å; angles 154.22, 90.00, 90.00 degrees
Atoms (fractional coordinates):
La (0.500, 0.296, 0.704)
La (0.500, 0.704, 0.296)
Sm (0.500, 0.500, 0.500)
Sm (0.500, 0.341, 0.147)
Sm (0.000, 0.814, 0.186)
Sm (0.500, 0.659, 0.853)
Sm (0.500, 0.853, 0.659)
Sm (0.000, 0.186, 0.814)
Sm (0.500, 0.147, 0.341)
Ho (0.000, 0.000, 0.000)

[6]
First-principles (GGA-PBE) data for a relaxed La7SmHo3 crystal, as listed in the Alexandria database.

Properties
magnetic moment	0.00	μB/f.u.
crystal system	trigonal
N(E_F)	16.52	states/eV per cell
volume	400	Å³/cell
electronic total energy	-51.02	eV for the cell shown

Cell lengths 8.662, 7.298, 7.298 Å; angles 120.00, 90.00, 90.00 degrees
Atoms (fractional coordinates):
Ho (0.783, 0.500, 0.500)
Ho (0.783, 0.500, 0.999)
Ho (0.783, 0.001, 0.500)
La (0.100, 0.164, 0.329)
La (0.132, 0.667, 0.333)
La (0.100, 0.671, 0.836)
La (0.100, 0.164, 0.836)
La (0.465, 0.836, 0.164)
La (0.465, 0.329, 0.164)
La (0.465, 0.836, 0.671)
Sm (0.439, 0.333, 0.667)

[7]
First-principles (GGA-PBE) data for a relaxed La2Sm6Ho3 crystal, as listed in the Alexandria database.

Properties
magnetic moment	0.00	μB/f.u.
crystal system	tetragonal
N(E_F)	16.07	states/eV per cell
volume	393	Å³/cell
electronic total energy	-48.91	eV for the cell shown

Cell lengths 4.797, 4.797, 17.399 Å; angles 97.92, 97.92, 90.00 degrees
Atoms (fractional coordinates):
Sm (0.699, 0.699, 0.398)
Sm (0.124, 0.624, 0.247)
Sm (0.301, 0.301, 0.602)
Sm (0.876, 0.376, 0.753)
Sm (0.624, 0.124, 0.247)
Sm (0.376, 0.876, 0.753)
Ho (0.799, 0.799, 0.599)
Ho (0.000, 0.000, 0.000)
Ho (0.201, 0.201, 0.401)
La (0.454, 0.454, 0.909)
La (0.546, 0.546, 0.091)

[8]
First-principles (GGA-PBE) data for a relaxed LaSm5Ho3 crystal, as listed in the Alexandria database.

Properties
magnetic moment	0.00	μB/f.u.
crystal system	monoclinic
N(E_F)	26.83	states/eV per cell
volume	650	Å³/cell
electronic total energy	-77.18	eV for the cell shown

Cell lengths 9.469, 9.469, 12.917 Å; angles 51.32, 51.32, 51.15 degrees
Atoms (fractional coordinates):
Sm (0.557, 0.557, 0.574)
Sm (0.320, 0.680, 0.000)
Sm (0.083, 0.490, 0.777)
Sm (0.368, 0.368, 0.936)
Sm (0.510, 0.917, 0.223)
Sm (0.490, 0.083, 0.777)
Sm (0.632, 0.632, 0.064)
Sm (0.917, 0.510, 0.223)
Sm (0.680, 0.320, 0.000)
Sm (0.443, 0.443, 0.426)
Ho (0.829, 0.829, 0.341)
Ho (0.298, 0.298, 0.318)
Ho (0.702, 0.702, 0.682)
Ho (0.000, 0.000, 0.500)
Ho (0.000, 0.000, 0.000)
Ho (0.171, 0.171, 0.659)
La (0.100, 0.100, 0.138)
La (0.900, 0.900, 0.862)

[9]
First-principles (GGA-PBE) data for a relaxed La2Sm3Ho7 crystal, as listed in the Alexandria database.

Properties
magnetic moment	0.00	μB/f.u.
crystal system	monoclinic
N(E_F)	15.26	states/eV per cell
volume	398	Å³/cell
electronic total energy	-54.93	eV for the cell shown

Cell lengths 3.590, 5.850, 18.968 Å; angles 93.27, 90.00, 90.00 degrees
Atoms (fractional coordinates):
Ho (0.000, 0.311, 0.860)
Ho (0.500, 0.258, 0.538)
Ho (0.500, 0.742, 0.462)
Ho (0.500, 0.809, 0.830)
Ho (0.500, 0.191, 0.170)
Ho (0.000, 0.000, 0.000)
Ho (0.000, 0.689, 0.140)
Sm (0.500, 0.500, 0.000)
Sm (0.000, 0.777, 0.629)
Sm (0.000, 0.223, 0.371)
La (0.500, 0.709, 0.292)
La (0.500, 0.291, 0.708)

[10]
First-principles (GGA-PBE) data for a relaxed La4Sm15Ho crystal, as listed in the Alexandria database.

Properties
magnetic moment	0.00	μB/f.u.
crystal system	tetragonal
N(E_F)	31.39	states/eV per cell
volume	688	Å³/cell
electronic total energy	-94.67	eV for the cell shown

Cell lengths 5.166, 5.166, 25.781 Å; angles 90.00, 90.00, 90.00 degrees
Atoms (fractional coordinates):
Sm (0.500, 0.000, 0.902)
Sm (0.500, 0.500, 0.802)
Sm (0.500, 0.500, 0.600)
Sm (0.000, 0.500, 0.902)
Sm (0.500, 0.000, 0.098)
Sm (0.500, 0.000, 0.701)
Sm (0.500, 0.000, 0.299)
Sm (0.000, 0.500, 0.098)
Sm (0.500, 0.500, 0.400)
Sm (0.500, 0.500, 0.198)
Sm (0.000, 0.500, 0.701)
Sm (0.000, 0.500, 0.299)
Sm (0.500, 0.000, 0.500)
Sm (0.000, 0.500, 0.500)
Sm (0.500, 0.500, 0.000)
La (0.000, 0.000, 0.601)
La (0.000, 0.000, 0.801)
La (0.000, 0.000, 0.399)
La (0.000, 0.000, 0.199)
Ho (0.000, 0.000, 0.000)

[11]
First-principles (GGA-PBE) data for a relaxed LaSm12Ho6 crystal, as listed in the Alexandria database.

Properties
magnetic moment	0.00	μB/f.u.
crystal system	trigonal
N(E_F)	32.56	states/eV per cell
volume	642	Å³/cell
electronic total energy	-86.36	eV for the cell shown

Cell lengths 8.630, 8.630, 8.630 Å; angles 88.79, 88.79, 88.79 degrees
Atoms (fractional coordinates):
Ho (0.902, 0.304, 0.741)
Ho (0.741, 0.902, 0.304)
Ho (0.696, 0.259, 0.098)
Ho (0.259, 0.098, 0.696)
Ho (0.304, 0.741, 0.902)
Ho (0.098, 0.696, 0.259)
Sm (0.778, 0.539, 0.433)
Sm (0.361, 0.014, 0.200)
Sm (0.200, 0.361, 0.014)
Sm (0.014, 0.200, 0.361)
Sm (0.639, 0.986, 0.800)
Sm (0.800, 0.639, 0.986)
Sm (0.433, 0.778, 0.539)
Sm (0.461, 0.567, 0.222)
Sm (0.986, 0.800, 0.639)
Sm (0.539, 0.433, 0.778)
Sm (0.222, 0.461, 0.567)
Sm (0.567, 0.222, 0.461)
La (0.000, 0.000, 0.000)

[12]
First-principles (GGA-PBE) data for a relaxed La7SmHo12 crystal, as listed in the Alexandria database.

Properties
magnetic moment	0.00	μB/f.u.
crystal system	trigonal
N(E_F)	36.86	states/eV per cell
volume	686	Å³/cell
electronic total energy	-89.73	eV for the cell shown

Cell lengths 8.838, 8.838, 8.838 Å; angles 86.19, 86.19, 86.19 degrees
Atoms (fractional coordinates):
Sm (0.000, 0.000, 0.000)
Ho (0.856, 0.254, 0.725)
Ho (0.254, 0.725, 0.856)
Ho (0.746, 0.275, 0.144)
Ho (0.503, 0.381, 0.865)
Ho (0.497, 0.619, 0.135)
Ho (0.619, 0.135, 0.497)
Ho (0.144, 0.746, 0.275)
Ho (0.865, 0.503, 0.381)
Ho (0.135, 0.497, 0.619)
Ho (0.725, 0.856, 0.254)
Ho (0.381, 0.865, 0.503)
Ho (0.275, 0.144, 0.746)
La (0.837, 0.605, 0.917)
La (0.500, 0.500, 0.500)
La (0.917, 0.837, 0.605)
La (0.395, 0.083, 0.163)
La (0.083, 0.163, 0.395)
La (0.605, 0.917, 0.837)
La (0.163, 0.395, 0.083)